# 1
A plane-wave DFT calculation with PBE-GGA was carried out for Ce2PmTe5 after structural relaxation.

Structure (POSCAR):
```
Ce2PmTe5
1.0
7.535 0.000 0.000
0.000 7.535 0.000
0.000 0.000 5.501
Ce Pm Te
2 1 5
direct
0.000 0.500 0.000
0.500 0.000 0.000
0.000 0.000 0.500
0.000 0.000 0.000
0.283 0.283 0.500
0.283 0.717 0.500
0.717 0.283 0.500
0.717 0.717 0.500
```

Properties
- raw formation energy (meV/atom) = -594
- total moment (μB/atom) = 0.318

***

# 2
A plane-wave DFT calculation with PBE-GGA was carried out for Ce3PmTe4 after structural relaxation.

Structure (POSCAR):
```
Ce3PmTe4
1.0
6.340 0.000 0.000
0.000 6.340 0.000
0.000 0.000 6.340
Ce Pm Te
3 1 4
direct
0.000 0.000 0.500
0.000 0.500 0.000
0.500 0.000 0.000
0.500 0.500 0.500
0.000 0.000 0.000
0.000 0.500 0.500
0.500 0.000 0.500
0.500 0.500 0.000
```

Properties
- raw formation energy (meV/atom) = -1379
- total moment (μB/atom) = 0.488

***

# 3
A plane-wave DFT calculation with PBE-GGA was carried out for Ce2PmTh3Te6 after structural relaxation.

Structure (POSCAR):
```
Ce2PmTh3Te6
1.0
9.855 -2.215 0.000
9.855 2.215 0.000
-2.498 0.000 8.665
Ce Pm Th Te
2 1 3 6
direct
0.167 0.167 0.332
0.833 0.833 0.668
0.500 0.500 0.000
0.166 0.166 0.830
0.500 0.500 0.500
0.834 0.834 0.170
0.001 0.001 0.248
0.333 0.333 0.421
0.334 0.334 0.918
0.666 0.666 0.082
0.667 0.667 0.579
0.999 0.999 0.752
```

Properties
- raw formation energy (meV/atom) = -1195
- total moment (μB/atom) = 0.158

***

# 4
A plane-wave DFT calculation with PBE-GGA was carried out for Ce3PmTh2Te6 after structural relaxation.

Structure (POSCAR):
```
Ce3PmTh2Te6
1.0
3.862 -6.676 0.000
3.862 6.676 0.000
-2.566 0.000 7.366
Ce Pm Th Te
3 1 2 6
direct
0.000 0.000 0.000
0.333 0.667 0.000
0.667 0.333 0.000
0.500 0.500 0.500
0.166 0.834 0.500
0.834 0.166 0.500
0.085 0.417 0.250
0.252 0.252 0.751
0.417 0.085 0.250
0.583 0.915 0.750
0.748 0.748 0.249
0.915 0.583 0.750
```

Properties
- raw formation energy (meV/atom) = -1257
- total moment (μB/atom) = 0.273

***

# 5
A plane-wave DFT calculation with PBE-GGA was carried out for CePm2Tl3Te6 after structural relaxation.

Structure (POSCAR):
```
CePm2Tl3Te6
1.0
3.951 -6.843 0.000
3.951 6.843 0.000
-2.633 0.000 8.181
Ce Pm Tl Te
1 2 3 6
direct
0.000 0.000 0.000
0.333 0.667 0.000
0.667 0.333 0.000
0.167 0.833 0.500
0.500 0.500 0.500
0.833 0.167 0.500
0.073 0.409 0.219
0.262 0.262 0.781
0.409 0.073 0.219
0.591 0.927 0.781
0.738 0.738 0.219
0.927 0.591 0.781
```

Properties
- raw formation energy (meV/atom) = -1050
- total moment (μB/atom) = 0.084

***

# 6
A plane-wave DFT calculation with PBE-GGA was carried out for Ce2PmTm3Te6 after structural relaxation.

Structure (POSCAR):
```
Ce2PmTm3Te6
1.0
9.661 -2.164 0.000
9.661 2.164 0.000
-2.382 0.000 8.600
Ce Pm Tm Te
2 1 3 6
direct
0.167 0.167 0.334
0.833 0.833 0.666
0.500 0.500 0.000
0.166 0.166 0.833
0.500 0.500 0.500
0.834 0.834 0.167
0.003 0.003 0.742
0.330 0.330 0.926
0.337 0.337 0.408
0.663 0.663 0.592
0.670 0.670 0.074
0.997 0.997 0.258
```

Properties
- raw formation energy (meV/atom) = -1290
- total moment (μB/atom) = 0.218